(1)
DFT (GGA-PBE) results for a relaxed Si2AgSb crystal.

Lattice parameters (Å, degrees): 5.941 5.941 5.941 150.72 129.75 59.22
Fractional positions:
Ag  0.750  0.250  0.500
Si  0.992  0.992  0.000
Sb  0.250  0.750  0.500
Si  0.508  0.508  0.000

Values from the calculation:
Total energy: -3.9256 eV per atom
Fermi-level density of states: 1.60 states/eV/cell
ΔE_f (raw): 51.1 kJ/mol of atoms
Magnetic moment: 0.000 μB per cell
Space-group type: Immm

---

(2)
DFT (GGA-PBE) results for a relaxed Cs2InGeBr6 crystal.

Lattice parameters (Å, degrees): 8.042 8.042 8.024 59.93 59.93 90.00
Fractional positions:
Br  0.254  0.746  0.000
Cs  0.250  0.750  0.500
Br  0.746  0.746  0.000
Ge  0.500  0.500  0.000
Br  0.746  0.746  0.508
In  0.000  0.000  0.000
Cs  0.750  0.250  0.500
Br  0.746  0.254  0.000
Br  0.254  0.254  0.492
Br  0.254  0.254  0.000

Values from the calculation:
Total energy: -3.0483 eV per atom
Fermi-level density of states: 3.42 states/eV/cell
ΔE_f (raw): -109.8 kJ/mol of atoms
Magnetic moment: 0.000 μB per cell
Space-group type: I4/mmm

---

(3)
DFT (GGA-PBE) results for a relaxed La8GeP3Br4 crystal.

Lattice parameters (Å, degrees): 8.583 8.899 8.582 118.83 120.00 90.00
Fractional positions:
La  0.265  0.294  0.529
P  0.500  0.500  0.500
La  0.735  0.706  0.471
P  0.500  0.500  0.000
La  0.241  0.711  0.482
La  0.729  0.711  0.970
La  0.241  0.711  0.970
La  0.271  0.289  0.030
La  0.759  0.289  0.030
La  0.759  0.289  0.518
Ge  0.000  0.500  0.000
Br  0.500  0.000  0.000
Br  0.000  0.000  0.500
Br  0.500  0.000  0.500
P  0.000  0.500  0.500
Br  0.000  0.000  0.000

Values from the calculation:
Total energy: -5.6948 eV per atom
Fermi-level density of states: 8.17 states/eV/cell
ΔE_f (raw): -145.7 kJ/mol of atoms
Magnetic moment: 0.000 μB per cell
Space-group type: R-3m

---

(4)
DFT (GGA-PBE) results for a relaxed Gd2ZnBr crystal.

Lattice parameters (Å, degrees): 3.513 3.513 8.124 90.00 90.00 90.00
Site moments in Bohr magnetons follow the coordinates.
Fractional positions:
Zn  0.500  0.500  0.000  -0.01
Gd  0.000  0.000  0.780  7.28
Gd  0.000  0.000  0.220  7.28
Br  0.500  0.500  0.500  -0.01

Values from the calculation:
Total energy: -8.4284 eV per atom
Fermi-level density of states: 3.31 states/eV/cell
ΔE_f (raw): -62.8 kJ/mol of atoms
Magnetic moment: 15.106 μB per cell
Excess energy over the best structure of this formula in the dataset: 0.016 eV per atom
Space-group type: P4/mmm